No. 1
{
  "formula": "Ba2SrHg",
  "functional": "SCAN",
  "state": "PBEsol geometry",
  "crystal_system": "tetragonal",
  "energy_ev_per_atom": -42.492,
  "magmom_total_mub_per_atom": 0.0001,
  "space_group": "I-4m2",
  "lattice_angstrom": [[5.269, 0.000, 0.000], [0.000, 5.269, 0.000], [-2.634, -2.634, 5.864]],
  "species": ["Ba", "Ba", "Sr", "Hg"],
  "frac_coords": [[0.000, 0.000, 0.000], [0.750, 0.250, 0.500], [0.250, 0.750, 0.500], [0.500, 0.500, 0.000]]
}

***

No. 2
{
  "formula": "Ba2SrHg",
  "functional": "SCAN",
  "state": "PBEsol geometry",
  "crystal_system": "tetragonal",
  "energy_ev_per_atom": -42.732,
  "magmom_total_mub_per_atom": 0.0075,
  "space_group": "P4mm",
  "lattice_angstrom": [[-2.718, -2.673, 1.480], [1.691, -2.966, -2.250], [6.562, -2.280, 7.937]],
  "species": ["Sr", "Ba", "Ba", "Hg"],
  "frac_coords": [[0.500, 0.500, 0.678], [0.000, 0.000, 0.989], [0.500, 0.500, 0.320], [0.000, 0.000, 0.512]]
}